Rb2Pu3Cl9 (PBE, relaxed); uncorrected energy = -6.20 eV per atom; energy relative to the elements, uncorrected = -1.804 eV/atom
1.0
7.682 -4.431 0.000
7.682 4.431 0.000
-5.066 0.000 11.586
Rb Pu Cl
4 6 18
Direct
0.081 0.242 0.249
0.242 0.081 0.749
0.758 0.919 0.251
0.919 0.758 0.751
0.000 0.500 0.000
0.187 0.654 0.500
0.346 0.813 0.000
0.500 0.000 0.500
0.654 0.187 0.000
0.813 0.346 0.500
0.012 0.864 0.063
0.117 0.577 0.250
0.136 0.988 0.437
0.180 0.352 0.558
0.291 0.709 0.750
0.301 0.481 0.935
0.352 0.180 0.058
0.423 0.883 0.250
0.481 0.301 0.435
0.519 0.699 0.565
0.577 0.117 0.750
0.648 0.820 0.942
0.699 0.519 0.065
0.709 0.291 0.250
0.820 0.648 0.442
0.864 0.012 0.563
0.883 0.423 0.750
0.988 0.136 0.937